Density functional theory data (PBE) for a relaxed structure of LiNpRh4S8.

Computed properties:
Electronic total energy   -86.9 eV/f.u.
Magnetization   3.28 μB/f.u.
Volume   18.532 Å³ per atom

```
LiNpRh4S8
1.0
7.231 0.000 0.000
3.615 6.262 0.000
3.615 2.087 5.730
Rh Li S Np
4 1 8 1
Direct
0.501 0.001 0.497
0.001 0.501 0.497
0.001 0.001 0.497
0.626 0.626 0.123
0.374 0.374 0.877
0.236 0.236 0.291
0.763 0.763 0.712
0.740 0.236 0.283
0.254 0.774 0.717
0.254 0.254 0.717
0.740 0.740 0.283
0.774 0.254 0.717
0.236 0.740 0.283
0.998 0.998 0.006
```